DFT (GGA-PBE) results for an optimized crystal structure of CdGaPb3.

extended XYZ file:
```
5
Lattice="5.6892 0.0000 0.0000 0.0000 5.6892 0.0000 0.0000 0.0000 5.6892" Properties=species:S:1:pos:R:3 pbc="T T T"
Cd 0.0000 0.0000 0.0000
Ga 2.8446 2.8446 2.8446
Pb 0.0000 0.0000 2.8446
Pb 0.0000 2.8446 0.0000
Pb 2.8446 0.0000 0.0000
```

- total magnetization (μB/f.u.) = 0.0
- polymorph energy (0 for the lowest one) (meV/atom) = 468
- formation energy (eV/atom) = 0.533
- electronic total energy (eV per formula unit) = -12.4
- Fermi-level density of states (states/eV/f.u.) = 3.788
- space group = Pm-3m, No. 221